# 1
# KSrFe2 PBE optimized geometry
data_KSrFe2
_chemical_formula_sum 'K1 Sr1 Fe2'
_cell_length_a 3.3576
_cell_length_b 3.3576
_cell_length_c 9.6500
_cell_angle_alpha 90.00
_cell_angle_beta 90.00
_cell_angle_gamma 90.00
_symmetry_space_group_name_H-M 'P 1'
_symmetry_Int_Tables_number 1
_symmetry_space_group_name_Hall 'P 1'
loop_
_atom_site_label
_atom_site_type_symbol
_atom_site_fract_x
_atom_site_fract_y
_atom_site_fract_z
Sr1 Sr 0.5000 0.5000 0.7500
K1 K 0.5000 0.5000 0.2500
Fe1 Fe 0.0000 0.0000 0.9746
Fe2 Fe 0.0000 0.0000 0.5254
# - calculated density (g/cm3) = 3.64
# - space group = P4/mmm, No. 123
# - energy relative to the elements (eV per atom) = 1.139
# - excess energy over the best structure of this formula in the dataset (eV per atom) = 0.539



# 2
# ThZrMnCu PBE optimized geometry
data_ThZrMnCu
_chemical_formula_sum 'Th1 Zr1 Mn1 Cu1'
_cell_length_a 4.8354
_cell_length_b 4.8354
_cell_length_c 4.8354
_cell_angle_alpha 60.00
_cell_angle_beta 60.00
_cell_angle_gamma 60.00
_symmetry_space_group_name_H-M 'P 1'
_symmetry_Int_Tables_number 1
_symmetry_space_group_name_Hall 'P 1'
loop_
_atom_site_label
_atom_site_type_symbol
_atom_site_fract_x
_atom_site_fract_y
_atom_site_fract_z
Th1 Th 0.5000 0.5000 0.5000
Cu1 Cu 0.7500 0.7500 0.7500
Mn1 Mn 0.2500 0.2500 0.2500
Zr1 Zr 0.0000 0.0000 0.0000
# - calculated density (g/cm3) = 9.18
# - space group = F-43m, No. 216
# - energy relative to the elements (eV per atom) = 0.060